## w
RbV3Ge | GGA-PBE | optimized geometry

Unit cell a=5.0570 b=5.0570 c=5.0570 alpha=90.00 beta=90.00 gamma=90.00
Last column: magnetic moment on the atom in μB.
Fractional positions:
Ge  0.0000  0.0000  0.0000  -0.10
Rb  0.5000  0.5000  0.5000  0.12
V  0.0000  0.5000  0.0000  2.82
V  0.5000  0.0000  0.0000  2.82
V  0.0000  0.0000  0.5000  2.82

The value obtained for the density of states at the Fermi level is 6.309 states/eV per cell. Its calculated volume is 25.87 A^3/atom. The space-group type is No. 221.


## x
RbV3Ge | GGA-PBE | optimized geometry

Unit cell a=4.4942 b=4.4942 c=4.4942 alpha=90.00 beta=90.00 gamma=90.00
Fractional positions:
V  0.0000  0.5000  0.0000
Ge  0.5000  0.5000  0.5000
Rb  0.0000  0.0000  0.0000
V  0.5000  0.0000  0.0000
V  0.0000  0.0000  0.5000

The value obtained for the density of states at the Fermi level is 6.205 states/eV per cell. Its calculated volume is 18.15 A^3/atom. The space-group type is No. 221.


Which one sits at the bottom of the stability order? x does.


## w
RbVGe3 | GGA-PBE | optimized geometry

Unit cell a=4.8813 b=4.8813 c=4.8813 alpha=90.00 beta=90.00 gamma=90.00
Last column: magnetic moment on the atom in μB.
Fractional positions:
Rb  0.5000  0.5000  0.5000  0.00
Ge  0.0000  0.0000  0.5000  -0.01
V  0.0000  0.0000  0.0000  0.15
Ge  0.0000  0.5000  0.0000  -0.01
Ge  0.5000  0.0000  0.0000  -0.01

The value obtained for the density of states at the Fermi level is 2.243 states/eV per cell. Its calculated volume is 23.26 A^3/atom. The space-group type is No. 221.


## x
RbVGe3 | GGA-PBE | optimized geometry

Unit cell a=5.4623 b=5.4623 c=5.4623 alpha=90.00 beta=90.00 gamma=90.00
Last column: magnetic moment on the atom in μB.
Fractional positions:
Ge  0.0000  0.5000  0.0000  -0.03
Ge  0.0000  0.0000  0.5000  -0.03
Ge  0.5000  0.0000  0.0000  -0.03
V  0.5000  0.5000  0.5000  3.02
Rb  0.0000  0.0000  0.0000  -0.01

The value obtained for the density of states at the Fermi level is 7.382 states/eV per cell. Its calculated volume is 32.59 A^3/atom. The space-group type is No. 221.


Which one sits at the bottom of the stability order? x does.


## w
RbGe2W | GGA-PBE | optimized geometry

Unit cell a=4.9504 b=4.9504 c=4.9504 alpha=60.00 beta=60.00 gamma=60.00
Last column: magnetic moment on the atom in μB.
Fractional positions:
Ge  0.2500  0.2500  0.2500  -0.04
W  0.5000  0.5000  0.5000  1.87
Rb  0.0000  0.0000  0.0000  0.02
Ge  0.7500  0.7500  0.7500  -0.04

The value obtained for the density of states at the Fermi level is 2.894 states/eV per cell. Its calculated volume is 21.45 A^3/atom. The space-group type is No. 225.


## x
RbGe2W | GGA-PBE | optimized geometry

Unit cell a=6.4827 b=6.4827 c=8.4707 alpha=67.50 beta=67.50 gamma=90.00
Fractional positions:
Ge  0.8749  0.1250  0.2500
Ge  0.3750  0.1251  0.7500
Rb  0.2500  0.7500  0.5000
Ge  0.8750  0.1249  0.7500
Ge  0.8751  0.6250  0.2500
W  0.0000  0.0000  0.0000
Rb  0.5000  0.5000  0.0000
W  0.7500  0.2500  0.5000

The value obtained for the density of states at the Fermi level is 9.006 states/eV per cell. Its calculated volume is 37.42 A^3/atom. The space-group type is No. 141.


Which one sits at the bottom of the stability order? w does.


## w
RbGe2W2 | GGA-PBE | optimized geometry

Unit cell a=8.5014 b=8.5014 c=2.7984 alpha=90.00 beta=90.00 gamma=90.00
Fractional positions:
Ge  0.3255  0.1745  0.5000
W  0.1031  0.3969  0.0000
Ge  0.1745  0.6745  0.5000
Rb  0.0000  0.0000  0.0000
W  0.6031  0.1031  0.0000
Ge  0.8255  0.3255  0.5000
W  0.8969  0.6031  0.0000
W  0.3969  0.8969  0.0000
Rb  0.5000  0.5000  0.0000
Ge  0.6745  0.8255  0.5000

The value obtained for the density of states at the Fermi level is 6.722 states/eV per cell. Its calculated volume is 20.23 A^3/atom. The space-group type is No. 127.


## x
RbGe2W2 | GGA-PBE | optimized geometry

Unit cell a=4.9260 b=4.9260 c=5.7156 alpha=64.47 beta=64.47 gamma=90.00
Fractional positions:
W  0.3677  0.3677  0.2645
W  0.6323  0.6323  0.7355
Ge  0.7500  0.2500  0.5000
Rb  0.0000  0.0000  0.0000
Ge  0.2500  0.7500  0.5000

The value obtained for the density of states at the Fermi level is 1.602 states/eV per cell. Its calculated volume is 21.99 A^3/atom. The space-group type is No. 139.


Which one sits at the bottom of the stability order? x does.


## w
RbGe3W | GGA-PBE | optimized geometry

Unit cell a=5.1801 b=5.1801 c=5.1801 alpha=90.00 beta=90.00 gamma=90.00
Fractional positions:
Ge  0.0000  0.5000  0.0000
Rb  0.0000  0.0000  0.0000
Ge  0.0000  0.0000  0.5000
W  0.5000  0.5000  0.5000
Ge  0.5000  0.0000  0.0000

The value obtained for the density of states at the Fermi level is 8.977 states/eV per cell. Its calculated volume is 27.80 A^3/atom. The space-group type is No. 221.


## x
RbGe3W | GGA-PBE | optimized geometry

Unit cell a=5.0068 b=5.0068 c=5.0068 alpha=90.00 beta=90.00 gamma=90.00
Fractional positions:
Ge  0.0000  0.0000  0.5000
W  0.0000  0.0000  0.0000
Ge  0.0000  0.5000  0.0000
Rb  0.5000  0.5000  0.5000
Ge  0.5000  0.0000  0.0000

The value obtained for the density of states at the Fermi level is 3.059 states/eV per cell. Its calculated volume is 25.10 A^3/atom. The space-group type is No. 221.


Which one sits at the bottom of the stability order? w does.


## w
RbYGe | GGA-PBE | optimized geometry

Unit cell a=5.5353 b=12.0735 c=4.2620 alpha=96.31 beta=67.51 gamma=93.12
Last column: magnetic moment on the atom in μB.
Fractional positions:
Y  0.2755  0.5778  0.8869  0.16
Y  0.7245  0.4222  0.1131  0.16
Rb  0.2527  0.1694  0.7718  0.00
Ge  0.1450  0.4110  0.4004  -0.01
Ge  0.8550  0.5890  0.5996  -0.01
Rb  0.7473  0.8306  0.2282  0.00

The value obtained for the density of states at the Fermi level is 4.631 states/eV per cell. Its calculated volume is 43.59 A^3/atom. The space-group type is No. 2.


## x
RbYGe | GGA-PBE | optimized geometry

Unit cell a=5.2758 b=5.2758 c=7.9597 alpha=90.00 beta=90.00 gamma=90.00
Fractional positions:
Rb  0.0000  0.5000  0.8830
Rb  0.5000  0.0000  0.1170
Y  0.0000  0.0000  0.5000
Ge  0.0000  0.5000  0.3381
Y  0.5000  0.5000  0.5000
Ge  0.5000  0.0000  0.6619

The value obtained for the density of states at the Fermi level is 0.000 states/eV per cell. Its calculated volume is 36.93 A^3/atom. The space-group type is No. 129.


## y
RbYGe | GGA-PBE | optimized geometry

Unit cell a=8.0626 b=5.0147 c=11.4256 alpha=90.00 beta=90.00 gamma=90.00
Fractional positions:
Y  0.9953  0.7500  0.1217
Rb  0.6129  0.7500  0.9034
Ge  0.1702  0.7500  0.9044
Y  0.5047  0.2500  0.6217
Ge  0.8298  0.2500  0.0956
Rb  0.3871  0.2500  0.0966
Rb  0.8871  0.2500  0.4034
Y  0.0047  0.2500  0.8783
Ge  0.3298  0.2500  0.4044
Y  0.4953  0.7500  0.3783
Ge  0.6702  0.7500  0.5956
Rb  0.1129  0.7500  0.5966

The value obtained for the density of states at the Fermi level is 0.117 states/eV per cell. Its calculated volume is 38.50 A^3/atom. The space-group type is No. 62.


## z
RbYGe | GGA-PBE | optimized geometry

Unit cell a=6.8763 b=5.8060 c=5.8060 alpha=84.18 beta=90.00 gamma=90.00
Fractional positions:
Ge  0.5000  0.5587  0.4413
Ge  0.5000  0.0586  0.9414
Y  0.5000  0.0586  0.4415
Y  0.5000  0.5585  0.9414
Rb  0.0000  0.3103  0.6897
Rb  0.0000  0.8103  0.1897

The value obtained for the density of states at the Fermi level is 3.060 states/eV per cell. Its calculated volume is 38.43 A^3/atom. The space-group type is No. 25.


Which one sits at the bottom of the stability order? y does.


## w
RbYGe3 | GGA-PBE | optimized geometry

Unit cell a=5.5516 b=5.5516 c=5.5516 alpha=90.00 beta=90.00 gamma=90.00
Fractional positions:
Ge  0.0000  0.0000  0.5000
Y  0.0000  0.0000  0.0000
Ge  0.5000  0.0000  0.0000
Ge  0.0000  0.5000  0.0000
Rb  0.5000  0.5000  0.5000

The value obtained for the density of states at the Fermi level is 2.376 states/eV per cell. Its calculated volume is 34.22 A^3/atom. The space-group type is No. 221.


## x
RbYGe3 | GGA-PBE | optimized geometry

Unit cell a=5.3823 b=5.3823 c=5.3823 alpha=90.00 beta=90.00 gamma=90.00
Fractional positions:
Ge  0.5000  0.0000  0.0000
Ge  0.0000  0.5000  0.0000
Rb  0.0000  0.0000  0.0000
Y  0.5000  0.5000  0.5000
Ge  0.0000  0.0000  0.5000

The value obtained for the density of states at the Fermi level is 4.100 states/eV per cell. Its calculated volume is 31.18 A^3/atom. The space-group type is No. 221.


Which one sits at the bottom of the stability order? x does.


## w
RbZnGe | GGA-PBE | optimized geometry

Unit cell a=4.5543 b=7.9689 c=7.7122 alpha=53.03 beta=63.19 gamma=79.59
Fractional positions:
Zn  0.5796  0.4124  0.0395
Ge  0.4469  0.1377  0.9853
Zn  0.0399  0.2459  0.8188
Ge  0.1725  0.5209  0.8730
Rb  0.8285  0.6589  0.3001
Rb  0.7896  0.9998  0.5583

The value obtained for the density of states at the Fermi level is 0.189 states/eV per cell. Its calculated volume is 32.99 A^3/atom. The space-group type is No. 2.


## x
RbZnGe | GGA-PBE | optimized geometry

Unit cell a=5.7547 b=4.3323 c=4.3323 alpha=120.00 beta=90.00 gamma=90.00
Last column: magnetic moment on the atom in μB.
Fractional positions:
Zn  0.1665  0.3333  0.6667  0.00
Rb  0.6668  0.6667  0.3333  0.01
Ge  0.1667  0.0000  0.0000  0.08

The value obtained for the density of states at the Fermi level is 2.077 states/eV per cell. Its calculated volume is 31.18 A^3/atom. The space-group type is No. 187.


Which one sits at the bottom of the stability order? x does.


## w
RbZnGe3 | GGA-PBE | optimized geometry

Unit cell a=5.1050 b=5.1050 c=5.1050 alpha=90.00 beta=90.00 gamma=90.00
Fractional positions:
Ge  0.0000  0.5000  0.0000
Rb  0.5000  0.5000  0.5000
Ge  0.5000  0.0000  0.0000
Ge  0.0000  0.0000  0.5000
Zn  0.0000  0.0000  0.0000

The value obtained for the density of states at the Fermi level is 2.720 states/eV per cell. Its calculated volume is 26.61 A^3/atom. The space-group type is No. 221.


## x
RbZnGe3 | GGA-PBE | optimized geometry

Unit cell a=5.8295 b=5.8295 c=5.8295 alpha=90.00 beta=90.00 gamma=90.00
Fractional positions:
Rb  0.0000  0.0000  0.0000
Zn  0.5000  0.5000  0.5000
Ge  0.0000  0.5000  0.0000
Ge  0.0000  0.0000  0.5000
Ge  0.5000  0.0000  0.0000

The value obtained for the density of states at the Fermi level is 6.346 states/eV per cell. Its calculated volume is 39.62 A^3/atom. The space-group type is No. 221.


Which one sits at the bottom of the stability order? x does.


## w
RbZr2Ge2 | GGA-PBE | optimized geometry

Unit cell a=5.1515 b=5.1515 c=6.6711 alpha=67.29 beta=67.29 gamma=90.00
Fractional positions:
Ge  0.7500  0.2500  0.5000
Zr  0.3185  0.3185  0.3630
Zr  0.6815  0.6815  0.6370
Ge  0.2500  0.7500  0.5000
Rb  0.0000  0.0000  0.0000

The value obtained for the density of states at the Fermi level is 3.332 states/eV per cell. Its calculated volume is 29.66 A^3/atom. The space-group type is No. 139.


## x
RbZr2Ge2 | GGA-PBE | optimized geometry

Unit cell a=8.6412 b=8.6412 c=3.0638 alpha=90.00 beta=90.00 gamma=90.00
Fractional positions:
Zr  0.1262  0.3738  0.0000
Zr  0.3738  0.8738  0.0000
Rb  0.0000  0.0000  0.0000
Ge  0.6622  0.8378  0.5000
Zr  0.6262  0.1262  0.0000
Ge  0.8378  0.3378  0.5000
Zr  0.8738  0.6262  0.0000
Ge  0.1622  0.6622  0.5000
Ge  0.3378  0.1622  0.5000
Rb  0.5000  0.5000  0.0000

The value obtained for the density of states at the Fermi level is 10.782 states/eV per cell. Its calculated volume is 22.88 A^3/atom. The space-group type is No. 127.


Which one sits at the bottom of the stability order? w does.


## w
RbZrGe3 | GGA-PBE | optimized geometry

Unit cell a=5.2581 b=5.2581 c=5.2581 alpha=90.00 beta=90.00 gamma=90.00
Fractional positions:
Ge  0.0000  0.0000  0.5000
Ge  0.5000  0.0000  0.0000
Ge  0.0000  0.5000  0.0000
Rb  0.0000  0.0000  0.0000
Zr  0.5000  0.5000  0.5000

The value obtained for the density of states at the Fermi level is 5.257 states/eV per cell. Its calculated volume is 29.07 A^3/atom. The space-group type is No. 221.


## x
RbZrGe3 | GGA-PBE | optimized geometry

Unit cell a=5.3097 b=5.3097 c=5.3097 alpha=90.00 beta=90.00 gamma=90.00
Fractional positions:
Zr  0.0000  0.0000  0.0000
Ge  0.5000  0.0000  0.0000
Ge  0.0000  0.0000  0.5000
Ge  0.0000  0.5000  0.0000
Rb  0.5000  0.5000  0.5000

The value obtained for the density of states at the Fermi level is 2.628 states/eV per cell. Its calculated volume is 29.94 A^3/atom. The space-group type is No. 221.


Which one sits at the bottom of the stability order? w does.


## w
RbZr3Ge | GGA-PBE | optimized geometry

Unit cell a=5.0115 b=5.0115 c=5.0115 alpha=90.00 beta=90.00 gamma=90.00
Last column: magnetic moment on the atom in μB.
Fractional positions:
Zr  0.5000  0.0000  0.0000  0.39
Ge  0.5000  0.5000  0.5000  -0.02
Rb  0.0000  0.0000  0.0000  0.05
Zr  0.0000  0.0000  0.5000  0.30
Zr  0.0000  0.5000  0.0000  0.36

The value obtained for the density of states at the Fermi level is 4.300 states/eV per cell. Its calculated volume is 25.17 A^3/atom. The space-group type is No. 221.


## x
RbZr3Ge | GGA-PBE | optimized geometry

Unit cell a=5.2861 b=5.2861 c=5.2861 alpha=90.00 beta=90.00 gamma=90.00
Last column: magnetic moment on the atom in μB.
Fractional positions:
Ge  0.0000  0.0000  0.0000  0.02
Zr  0.0000  0.0000  0.5000  0.27
Rb  0.5000  0.5000  0.5000  0.03
Zr  0.5000  0.0000  0.0000  0.21
Zr  0.0000  0.5000  0.0000  0.20

The value obtained for the density of states at the Fermi level is 10.246 states/eV per cell. Its calculated volume is 29.54 A^3/atom. The space-group type is No. 221.


Which one sits at the bottom of the stability order? w does.